[1]
Density functional theory data (PBE-GGA) for a geometry-optimized TbPI structure.

abc: 4.0154 4.9997 11.6291
angles: 77.78 80.95 67.62
With the nearest neighbours (Å) after each atom.
Space group P-1 (No. 2)
Asymmetric unit:
Tb 0.1703 0.3001 0.3719 x2  4 P 2.78-2.91, 2 I 3.05-3.09
P 0.4831 0.6889 0.4293 x2  1 P 2.20
I 0.2018 0.8013 0.8195 x2  2 Tb 3.05-3.09

Results
Uncorrected formation energy, eV per atom: -1.21



[2]
Density functional theory data (PBE-GGA) for a geometry-optimized SmTm2Cd2 structure.

abc: 3.6943 5.3585 13.8604
angles: 90.00 97.65 90.00
With the nearest neighbours (Å) after each atom.
Space group P2_1/m (No. 11)
Asymmetric unit:
Sm 0.1496 0.2500 0.2975 x2  6 Cd 3.26-3.32, 4 Tm 3.61-3.65
Tm 0.0465 0.7500 0.0925 x2  8 Cd 3.19-3.26
Tm 0.2364 0.7500 0.4733 x2  2 Cd 3.20, 4 Tm 3.33-3.34
Cd 0.3582 0.2500 0.7172 x2  4 Tm 3.20, 4 Sm 3.26
Cd 0.4516 0.7500 0.9032 x2  6 Tm 3.19-3.26, 2 Sm 3.32

Results
Density of states at the Fermi level, states/eV/cell: 9.58
ΔH_f (0 K), eV per formula unit: -1.2



[3]
Density functional theory data (PBE-GGA) for a geometry-optimized LaNd12Dy2 structure.

abc: 7.2178 11.6734 25.2121
angles: 90.00 90.00 90.00
With the nearest neighbours (Å) after each atom.
Space group Cmme (No. 67)
Asymmetric unit:
La 0.0000 0.2500 0.0041 x4  6 Nd 3.48-3.71, 2 La 3.61
Nd 0.0000 0.0076 0.9236 x8  2 La 3.48-3.52, 9 Nd 3.61-3.86
Nd 0.0000 0.0245 0.4403 x8  5 Nd 3.07-3.41
Nd 0.2303 0.2500 0.5845 x8  7 Nd 3.33-3.69
Nd 0.2457 0.2500 0.1332 x8  8 Nd 3.38-3.77, 1 La 3.71
Nd 0.2500 0.0000 0.2006 x8  3 Nd 3.16-3.38
Nd 0.2500 0.0000 0.3259 x8  3 Nd 3.16-3.41
Dy 0.0000 0.2500 0.2727 x4  2 Dy 3.61, 10 Nd 3.68-3.94
Dy 0.0000 0.2500 0.7318 x4  2 Dy 3.61, 10 Nd 3.73-3.87

Results
Density of states at the Fermi level, states/eV/cell: 86.27
ΔH_f (0 K), eV per formula unit: 2.3